No. 1
## TbPa2CrN4 (GGA-PBE)

Data for crystalline TbPa2CrN4 at its relaxed geometry.

Output
Its formation energy (no corrections) is -1.285 eV per atom. The energy comes out at -153.7 eV/cell.

Lattice parameters (Å, degrees): 3.328 6.058 11.527 90.00 90.00 105.94
Atoms (fractional coordinates):
Tb 0.109 0.219 0.750
Tb 0.891 0.781 0.250
Pa 0.367 0.734 0.556
Pa 0.633 0.266 0.056
Pa 0.633 0.266 0.444
Pa 0.367 0.734 0.944
Cr 0.845 0.691 0.750
Cr 0.155 0.309 0.250
N 0.274 0.549 0.125
N 0.726 0.451 0.625
N 0.726 0.451 0.875
N 0.274 0.549 0.375
N 0.000 0.000 0.500
N 0.000 0.000 0.000
N 0.451 0.903 0.750
N 0.549 0.097 0.250

---

No. 2
## TcHg2I6 (GGA-PBE)

Data for crystalline TcHg2I6 at its relaxed geometry.

Output
Its formation energy (no corrections) is -0.029 eV per atom. The energy comes out at -41.1 eV/cell.

Lattice parameters (Å, degrees): 7.599 11.418 11.418 88.54 72.16 72.16
Each line ends with the local moment (μB).
Atoms (fractional coordinates):
Tc 0.250 0.222 0.778  3.59
Tc 0.750 0.778 0.222  3.59
Hg 0.099 0.654 0.806  0.03
Hg 0.401 0.194 0.346  0.03
Hg 0.901 0.346 0.194  0.03
Hg 0.599 0.806 0.654  0.03
I 0.257 0.795 0.611  0.03
I 0.243 0.389 0.205  0.03
I 0.743 0.205 0.389  0.03
I 0.757 0.611 0.795  0.03
I 0.894 0.784 0.417  0.09
I 0.606 0.583 0.216  0.09
I 0.106 0.216 0.583  0.09
I 0.394 0.417 0.784  0.09
I 0.070 0.786 0.026  0.09
I 0.430 0.974 0.214  0.09
I 0.930 0.214 0.974  0.09
I 0.570 0.026 0.786  0.09

---

No. 3
## Ho6Er2Sc (GGA-PBE)

Data for crystalline Ho6Er2Sc at its relaxed geometry.

Output
The formation energy comes out at 0.29 eV per formula unit. The energy comes out at -42.6 eV/cell. As for the energy above the lowest structure with this stoichiometry: 0.0000 eV/atom.

Lattice parameters (Å, degrees): 4.931 6.046 27.277 148.24 90.00 114.07
Atoms (fractional coordinates):
Ho 0.223 0.446 0.445
Ho 0.777 0.554 0.555
Ho 0.898 0.796 0.781
Ho 0.550 0.100 0.109
Ho 0.102 0.204 0.219
Ho 0.450 0.900 0.891
Er 0.658 0.316 0.330
Er 0.342 0.684 0.670
Sc 0.000 0.000 0.000

---

No. 4
## ReNi2Se (GGA-PBE)

Data for crystalline ReNi2Se at its relaxed geometry.

Output
Its formation energy (no corrections) is 0.439 eV per atom. The energy comes out at -25.7 eV/cell.

Lattice parameters (Å, degrees): 3.030 4.203 4.177 90.00 90.00 90.00
Each line ends with the local moment (μB).
Atoms (fractional coordinates):
Ni 0.000 0.000 0.000  0.12
Ni 0.500 0.500 0.000  0.08
Re 0.500 0.000 0.500  0.12
Se 0.000 0.500 0.500  0.00

---

No. 5
## ScIn2SiPt (GGA-PBE)

Data for crystalline ScIn2SiPt at its relaxed geometry.

Output
Its formation energy (no corrections) is 0.134 eV per atom. The energy comes out at -22.6 eV/cell. As for the energy above the lowest structure with this stoichiometry: 0.0515 eV/atom.

Lattice parameters (Å, degrees): 5.226 4.591 5.226 90.00 90.00 90.00
Atoms (fractional coordinates):
Sc 0.500 0.500 0.500
Si 0.000 0.500 0.000
Pt 0.000 0.000 0.000
In 0.000 0.000 0.500
In 0.500 0.000 0.000

---

No. 6
## NaLu3Rh (GGA-PBE)

Data for crystalline NaLu3Rh at its relaxed geometry.

Output
The formation energy comes out at -1.25 eV per formula unit. The energy comes out at -23.5 eV/cell.

Lattice parameters (Å, degrees): 5.335 5.335 5.335 90.00 90.00 90.00
Atoms (fractional coordinates):
Na 0.500 0.500 0.500
Lu 0.000 0.500 0.000
Lu 0.000 0.000 0.500
Lu 0.500 0.000 0.000
Rh 0.000 0.000 0.000

---

No. 7
## BaRe3W (GGA-PBE)

Data for crystalline BaRe3W at its relaxed geometry.

Output
The formation energy comes out at 8.81 eV per formula unit. The energy comes out at -43.4 eV/cell. As for the energy above the lowest structure with this stoichiometry: 0.0000 eV/atom.

Lattice parameters (Å, degrees): 4.910 4.910 4.910 90.00 90.00 90.00
Each line ends with the local moment (μB).
Atoms (fractional coordinates):
Re 0.000 0.500 0.000  0.80
Re 0.000 0.000 0.500  0.83
Re 0.500 0.000 0.000  0.49
Ba 0.500 0.500 0.500  0.04
W 0.000 0.000 0.000  -0.14

---

No. 8
## Nd3YBi3 (GGA-PBE)

Data for crystalline Nd3YBi3 at its relaxed geometry.

Output
The formation energy comes out at -5.69 eV per formula unit. The energy comes out at -152.4 eV/cell. As for the energy above the lowest structure with this stoichiometry: 0.0000 eV/atom.

Lattice parameters (Å, degrees): 9.630 9.630 9.630 90.00 90.00 90.00
Atoms (fractional coordinates):
Nd 0.824 0.324 0.176
Nd 0.932 0.932 0.932
Nd 0.822 0.678 0.322
Nd 0.176 0.824 0.324
Nd 0.178 0.178 0.178
Nd 0.322 0.822 0.678
Nd 0.068 0.432 0.568
Nd 0.324 0.176 0.824
Nd 0.678 0.322 0.822
Nd 0.676 0.676 0.676
Nd 0.568 0.068 0.432
Nd 0.432 0.568 0.068
Y 0.073 0.573 0.927
Y 0.927 0.073 0.573
Y 0.427 0.427 0.427
Y 0.573 0.927 0.073
Bi 0.756 0.628 0.998
Bi 0.872 0.002 0.256
Bi 0.998 0.756 0.628
Bi 0.128 0.502 0.244
Bi 0.244 0.128 0.502
Bi 0.256 0.872 0.002
Bi 0.002 0.256 0.872
Bi 0.372 0.498 0.744
Bi 0.502 0.244 0.128
Bi 0.628 0.998 0.756
Bi 0.744 0.372 0.498
Bi 0.498 0.744 0.372

---

No. 9
## Tb6Pm3Y2Sc (GGA-PBE)

Data for crystalline Tb6Pm3Y2Sc at its relaxed geometry.

Output
The formation energy comes out at 0.33 eV per formula unit. The energy comes out at -61.0 eV/cell.

Lattice parameters (Å, degrees): 6.172 6.172 11.794 94.99 94.99 119.98
Atoms (fractional coordinates):
Tb 0.919 0.589 0.755
Tb 0.751 0.751 0.245
Tb 0.081 0.411 0.245
Tb 0.589 0.919 0.755
Tb 0.249 0.249 0.755
Tb 0.411 0.081 0.245
Pm 0.167 0.833 0.500
Pm 0.833 0.167 0.500
Pm 0.500 0.500 0.500
Y 0.333 0.667 0.000
Y 0.667 0.333 0.000
Sc 0.000 0.000 0.000

---

No. 10
## NpTlF4 (GGA-PBE)

Data for crystalline NpTlF4 at its relaxed geometry.

Output
Its formation energy (no corrections) is -2.897 eV per atom. The energy comes out at -160.7 eV/cell.

Lattice parameters (Å, degrees): 3.810 6.427 16.808 90.00 90.00 90.00
Each line ends with the local moment (μB).
Atoms (fractional coordinates):
Np 0.750 0.247 0.443  3.90
Np 0.250 0.753 0.557  3.90
Np 0.250 0.253 0.943  3.90
Np 0.750 0.747 0.057  3.90
Tl 0.750 0.781 0.801  0.01
Tl 0.250 0.219 0.199  0.01
Tl 0.250 0.719 0.301  0.01
Tl 0.750 0.281 0.699  0.01
F 0.750 0.896 0.626  -0.01
F 0.250 0.104 0.374  -0.01
F 0.250 0.604 0.126  -0.01
F 0.750 0.396 0.874  -0.01
F 0.750 0.867 0.465  -0.01
F 0.250 0.133 0.535  -0.01
F 0.250 0.633 0.965  -0.01
F 0.750 0.367 0.035  -0.01
F 0.750 0.003 0.946  -0.01
F 0.250 0.997 0.054  -0.01
F 0.250 0.497 0.446  -0.01
F 0.750 0.503 0.554  -0.01
F 0.750 0.901 0.181  -0.01
F 0.250 0.099 0.819  -0.01
F 0.250 0.599 0.681  -0.01
F 0.750 0.401 0.319  -0.01

---

No. 11
## Ge3CF (GGA-PBE)

Data for crystalline Ge3CF at its relaxed geometry.

Output
Its formation energy (no corrections) is 0.677 eV per atom. The energy comes out at -21.6 eV/cell. As for the energy above the lowest structure with this stoichiometry: 0.0000 eV/atom.

Lattice parameters (Å, degrees): 4.351 4.351 4.351 90.00 90.00 90.00
Atoms (fractional coordinates):
Ge 0.000 0.500 0.000
Ge 0.000 0.000 0.500
Ge 0.500 0.000 0.000
C 0.000 0.000 0.000
F 0.500 0.500 0.500

---

No. 12
## PmBrCl (GGA-PBE)

Data for crystalline PmBrCl at its relaxed geometry.

Output
Its formation energy (no corrections) is -1.802 eV per atom. The energy comes out at -13.7 eV/cell. As for the energy above the lowest structure with this stoichiometry: 0.0509 eV/atom.

Lattice parameters (Å, degrees): 3.918 3.918 7.390 90.00 90.00 120.00
Atoms (fractional coordinates):
Cl 0.333 0.667 0.573
Br 0.000 0.000 0.085
Pm 0.667 0.333 0.342